1.
! La2AsPPt6 | the Alexandria database | PBE | optimized geometry; values from VASP
! raw total energy: -6.57 eV per atom
! density of states at the Fermi level: 3.3 states/eV/f.u.
! ΔE_f: -0.959 eV per atom
! crystal system: orthorhombic
&SYSTEM
  ibrav = 0, nat = 20, ntyp = 4
/
ATOMIC_SPECIES
P 30.97 P.upf
La 138.91 La.upf
Pt 195.08 Pt.upf
As 74.92 As.upf
ATOMIC_POSITIONS crystal
P 0.0000 0.7476 0.0000
P 0.5000 0.2524 0.5000
La 0.5000 0.7357 0.7454
La 0.5000 0.7357 0.2546
La 0.0000 0.2643 0.7546
La 0.0000 0.2643 0.2454
Pt 0.2525 0.9909 0.0000
Pt 0.7546 0.5240 0.0000
Pt 0.2454 0.5240 0.0000
Pt 0.5000 0.1273 0.7536
Pt 0.7454 0.4760 0.5000
Pt 0.2546 0.4760 0.5000
Pt 0.0000 0.8727 0.7464
Pt 0.7475 0.9909 0.0000
Pt 0.0000 0.8727 0.2536
Pt 0.7525 0.0091 0.5000
Pt 0.5000 0.1273 0.2464
Pt 0.2475 0.0091 0.5000
As 0.5000 0.2875 0.0000
As 0.0000 0.7125 0.5000
CELL_PARAMETERS angstrom
5.6114 0.0000 0.0000
0.0000 8.5722 0.0000
0.0000 0.0000 8.4031

2.
! ZnMoP2 | the Alexandria database | PBE | optimized geometry; values from VASP
! raw total energy: -5.89 eV per atom
! density of states at the Fermi level: 0.7 states/eV/f.u.
! ΔE_f: -0.160 eV per atom
! crystal system: monoclinic
&SYSTEM
  ibrav = 0, nat = 4, ntyp = 3
/
ATOMIC_SPECIES
Mo 95.94 Mo.upf
Zn 65.41 Zn.upf
P 30.97 P.upf
ATOMIC_POSITIONS crystal
Mo 0.5000 0.7500 0.7500
Zn 0.5000 0.2500 0.2500
P 0.0000 0.4040 0.5311
P 0.0000 0.0960 0.9689
CELL_PARAMETERS angstrom
3.1328 0.0000 0.0000
0.0000 3.1416 -0.0068
0.0000 2.1676 6.0179

3.
! MgSiAu2 | the Alexandria database | PBE | optimized geometry; values from VASP
! raw total energy: -3.54 eV per atom
! density of states at the Fermi level: 1.4 states/eV/f.u.
! formation energy (no corrections): -149 meV/atom
! crystal system: tetragonal
&SYSTEM
  ibrav = 0, nat = 4, ntyp = 3
/
ATOMIC_SPECIES
Mg 24.30 Mg.upf
Au 196.97 Au.upf
Si 28.09 Si.upf
ATOMIC_POSITIONS crystal
Mg 0.5000 0.5000 0.0000
Au 0.2500 0.7500 0.5000
Au 0.0000 0.0000 0.0000
Si 0.7500 0.2500 0.5000
CELL_PARAMETERS angstrom
-1.2065 -2.6989 -4.2115
3.0519 -4.0815 -0.7098
-2.7030 1.7922 3.9948